[1]
# Be2CrHRh | Alexandria via LeMat-Bulk | GGA-PBE | relaxed
# * E: -5.6125 eV/atom
# * DOS at the Fermi energy: 3.19 states/eV/cell
# * magnetization: 2.89 μB/cell
data_Be2CrHRh
_cell_length_a 3.7846
_cell_length_b 3.7846
_cell_length_c 3.2447
_cell_angle_alpha 90.00
_cell_angle_beta 90.00
_cell_angle_gamma 90.00
_space_group_name_H-M_alt 'P 4/m m m'
_space_group_IT_number 123
_space_group_name_Hall '-P 4 2'
loop_
_atom_site_label
_atom_site_fract_x
_atom_site_fract_y
_atom_site_fract_z
Be1 0.0000 0.5000 0.0000
Cr1 0.0000 0.0000 0.5000
H1 0.0000 0.0000 0.0000
Rh1 0.5000 0.5000 0.5000

=====

[2]
# Be2CrHRu | Alexandria via LeMat-Bulk | GGA-PBE | relaxed
# * E: -5.8678 eV/atom
# * DOS at the Fermi energy: 3.11 states/eV/cell
# * magnetization: 2.77 μB/cell
data_Be2CrHRu
_cell_length_a 3.8020
_cell_length_b 3.8020
_cell_length_c 3.1822
_cell_angle_alpha 90.00
_cell_angle_beta 90.00
_cell_angle_gamma 90.00
_space_group_name_H-M_alt 'P 4/m m m'
_space_group_IT_number 123
_space_group_name_Hall '-P 4 2'
loop_
_atom_site_label
_atom_site_fract_x
_atom_site_fract_y
_atom_site_fract_z
Be1 0.0000 0.5000 0.0000
Cr1 0.0000 0.0000 0.5000
H1 0.0000 0.0000 0.0000
Ru1 0.5000 0.5000 0.5000

=====

[3]
# Ti2BeCrH | Alexandria via LeMat-Bulk | GGA-PBE | relaxed
# * E: -6.6043 eV/atom
# * DOS at the Fermi energy: 4.54 states/eV/cell
# * magnetization: 0.00 μB/cell
data_Ti2BeCrH
_cell_length_a 4.0614
_cell_length_b 4.0614
_cell_length_c 3.3978
_cell_angle_alpha 90.00
_cell_angle_beta 90.00
_cell_angle_gamma 90.00
_space_group_name_H-M_alt 'P 4/m m m'
_space_group_IT_number 123
_space_group_name_Hall '-P 4 2'
loop_
_atom_site_label
_atom_site_fract_x
_atom_site_fract_y
_atom_site_fract_z
Ti1 0.0000 0.5000 0.0000
Be1 0.0000 0.0000 0.5000
Cr1 0.5000 0.5000 0.5000
H1 0.5000 0.5000 0.0000

=====

[4]
# BeV2CrH | Alexandria via LeMat-Bulk | GGA-PBE | relaxed
# * E: -6.9974 eV/atom
# * DOS at the Fermi energy: 3.38 states/eV/cell
# * magnetization: 0.00 μB/cell
data_BeV2CrH
_cell_length_a 3.7388
_cell_length_b 3.7388
_cell_length_c 3.5405
_cell_angle_alpha 90.00
_cell_angle_beta 90.00
_cell_angle_gamma 90.00
_space_group_name_H-M_alt 'P 4/m m m'
_space_group_IT_number 123
_space_group_name_Hall '-P 4 2'
loop_
_atom_site_label
_atom_site_fract_x
_atom_site_fract_y
_atom_site_fract_z
Be1 0.0000 0.0000 0.0000
V1 0.0000 0.5000 0.5000
Cr1 0.5000 0.5000 0.0000
H1 0.5000 0.5000 0.5000

=====

[5]
# Hf2BeCr | Alexandria via LeMat-Bulk | GGA-PBE | relaxed
# * E: -7.6350 eV/atom
# * DOS at the Fermi energy: 9.12 states/eV/cell
# * magnetization: 0.64 μB/cell
data_Hf2BeCr
_cell_length_a 2.9555
_cell_length_b 2.9555
_cell_length_c 27.4448
_cell_angle_alpha 90.00
_cell_angle_beta 90.00
_cell_angle_gamma 120.00
_space_group_name_H-M_alt 'R -3 m'
_space_group_IT_number 166
_space_group_name_Hall '-R 3 2"'
loop_
_atom_site_label
_atom_site_fract_x
_atom_site_fract_y
_atom_site_fract_z
Hf1 0.0000 0.0000 0.0930
Be1 0.0000 0.0000 0.5000
Cr1 0.0000 0.0000 0.0000

=====

[6]
# HfBe3Cr | Alexandria via LeMat-Bulk | GGA-PBE | relaxed
# * E: -4.2521 eV/atom
# * DOS at the Fermi energy: 5.29 states/eV/cell
# * magnetization: 4.23 μB/cell
# * E above lowest polymorph: 1399 meV/atom
data_HfBe3Cr
_cell_length_a 4.5968
_cell_length_b 4.5968
_cell_length_c 4.5968
_cell_angle_alpha 90.00
_cell_angle_beta 90.00
_cell_angle_gamma 90.00
_space_group_name_H-M_alt 'P m -3 m'
_space_group_IT_number 221
_space_group_name_Hall '-P 4 2 3'
loop_
_atom_site_label
_atom_site_fract_x
_atom_site_fract_y
_atom_site_fract_z
Hf1 0.0000 0.0000 0.0000
Be1 0.0000 0.0000 0.5000
Cr1 0.5000 0.5000 0.5000

=====

[7]
# HfBe3Cr | Alexandria via LeMat-Bulk | GGA-PBE | relaxed
# * E: -5.6515 eV/atom
# * DOS at the Fermi energy: 0.86 states/eV/cell
# * magnetization: 0.00 μB/cell
# * E above lowest polymorph: 0 meV/atom
data_HfBe3Cr
_cell_length_a 4.0049
_cell_length_b 4.0049
_cell_length_c 4.0049
_cell_angle_alpha 90.00
_cell_angle_beta 90.00
_cell_angle_gamma 90.00
_space_group_name_H-M_alt 'P m -3 m'
_space_group_IT_number 221
_space_group_name_Hall '-P 4 2 3'
loop_
_atom_site_label
_atom_site_fract_x
_atom_site_fract_y
_atom_site_fract_z
Hf1 0.0000 0.0000 0.0000
Be1 0.0000 0.5000 0.5000
Cr1 0.5000 0.5000 0.5000

=====

[8]
# Hf2Be15Cr2 | Alexandria via LeMat-Bulk | GGA-PBE | relaxed
# * E: -5.1871 eV/atom
# * DOS at the Fermi energy: 20.50 states/eV/cell
# * magnetization: 0.00 μB/cell
data_Hf2Be15Cr2
_cell_length_a 7.7312
_cell_length_b 7.7312
_cell_length_c 10.7371
_cell_angle_alpha 90.00
_cell_angle_beta 90.00
_cell_angle_gamma 120.00
_space_group_name_H-M_alt 'R -3 m'
_space_group_IT_number 166
_space_group_name_Hall '-R 3 2"'
loop_
_atom_site_label
_atom_site_fract_x
_atom_site_fract_y
_atom_site_fract_z
Hf1 0.0000 0.0000 0.1572
Be1 0.0000 0.2928 0.5000
Be2 0.0000 0.5000 0.0000
Be3 0.0016 0.5008 0.6572
Cr1 0.0000 0.0000 0.4088

=====

[9]
# Hf2Be9Cr | Alexandria via LeMat-Bulk | GGA-PBE | relaxed
# * E: -5.3043 eV/atom
# * DOS at the Fermi energy: 10.80 states/eV/cell
# * magnetization: 0.00 μB/cell
data_Hf2Be9Cr
_cell_length_a 4.5382
_cell_length_b 4.5382
_cell_length_c 21.4057
_cell_angle_alpha 90.00
_cell_angle_beta 90.00
_cell_angle_gamma 120.00
_space_group_name_H-M_alt 'R -3 m'
_space_group_IT_number 166
_space_group_name_Hall '-R 3 2"'
loop_
_atom_site_label
_atom_site_fract_x
_atom_site_fract_y
_atom_site_fract_z
Hf1 0.0000 0.0000 0.1371
Be1 0.0000 0.0000 0.3338
Be2 0.0000 0.0000 0.5000
Be3 0.0018 0.5009 0.9234
Cr1 0.0000 0.0000 0.0000

=====

[10]
# Hf2BeCr | Alexandria via LeMat-Bulk | GGA-PBE | relaxed
# * E: -7.6911 eV/atom
# * DOS at the Fermi energy: 14.32 states/eV/cell
# * magnetization: 0.00 μB/cell
data_Hf2BeCr
_cell_length_a 7.0367
_cell_length_b 7.0367
_cell_length_c 5.4135
_cell_angle_alpha 90.00
_cell_angle_beta 90.00
_cell_angle_gamma 90.00
_space_group_name_H-M_alt 'I -4 2 d'
_space_group_IT_number 122
_space_group_name_Hall 'I -4 2bw'
loop_
_atom_site_label
_atom_site_fract_x
_atom_site_fract_y
_atom_site_fract_z
Hf1 0.2440 0.2500 0.1250
Be1 0.0000 0.0000 0.0000
Cr1 0.0000 0.0000 0.5000

=====

[11]
# HfBeCr3 | Alexandria via LeMat-Bulk | GGA-PBE | relaxed
# * E: -6.2405 eV/atom
# * DOS at the Fermi energy: 10.38 states/eV/cell
# * magnetization: 1.29 μB/cell
data_HfBeCr3
_cell_length_a 4.4936
_cell_length_b 4.4936
_cell_length_c 4.4936
_cell_angle_alpha 90.00
_cell_angle_beta 90.00
_cell_angle_gamma 90.00
_space_group_name_H-M_alt 'P m -3 m'
_space_group_IT_number 221
_space_group_name_Hall '-P 4 2 3'
loop_
_atom_site_label
_atom_site_fract_x
_atom_site_fract_y
_atom_site_fract_z
Hf1 0.0000 0.0000 0.0000
Be1 0.5000 0.5000 0.5000
Cr1 0.0000 0.0000 0.5000

=====

[12]
# HfBe2Cr2 | Alexandria via LeMat-Bulk | GGA-PBE | relaxed
# * E: -7.0831 eV/atom
# * DOS at the Fermi energy: 5.28 states/eV/cell
# * magnetization: 0.00 μB/cell
# * E above lowest polymorph: 164 meV/atom
data_HfBe2Cr2
_cell_length_a 3.8521
_cell_length_b 3.8521
_cell_length_c 8.7023
_cell_angle_alpha 90.00
_cell_angle_beta 90.00
_cell_angle_gamma 90.00
_space_group_name_H-M_alt 'I 4/m m m'
_space_group_IT_number 139
_space_group_name_Hall '-I 4 2'
loop_
_atom_site_label
_atom_site_fract_x
_atom_site_fract_y
_atom_site_fract_z
Hf1 0.0000 0.0000 0.0000
Be1 0.0000 0.5000 0.2500
Cr1 0.0000 0.0000 0.3868

=====

[13]
# Hf2BeCr | Alexandria via LeMat-Bulk | GGA-PBE | relaxed
# * E: -8.2921 eV/atom
# * DOS at the Fermi energy: 4.26 states/eV/cell
# * magnetization: 1.35 μB/cell
data_Hf2BeCr
_cell_length_a 3.1976
_cell_length_b 3.1976
_cell_length_c 6.3345
_cell_angle_alpha 90.00
_cell_angle_beta 90.00
_cell_angle_gamma 90.00
_space_group_name_H-M_alt 'P 4/m m m'
_space_group_IT_number 123
_space_group_name_Hall '-P 4 2'
loop_
_atom_site_label
_atom_site_fract_x
_atom_site_fract_y
_atom_site_fract_z
Hf1 0.0000 0.0000 0.2464
Be1 0.5000 0.5000 0.0000
Cr1 0.5000 0.5000 0.5000

=====

[14]
# Hf2Be2Cr | Alexandria via LeMat-Bulk | GGA-PBE | relaxed
# * E: -7.4058 eV/atom
# * DOS at the Fermi energy: 6.37 states/eV/cell
# * magnetization: 4.99 μB/cell
data_Hf2Be2Cr
_cell_length_a 6.4542
_cell_length_b 6.4542
_cell_length_c 3.6041
_cell_angle_alpha 90.00
_cell_angle_beta 90.00
_cell_angle_gamma 90.00
_space_group_name_H-M_alt 'P 4/m b m'
_space_group_IT_number 127
_space_group_name_Hall '-P 4 2ab'
loop_
_atom_site_label
_atom_site_fract_x
_atom_site_fract_y
_atom_site_fract_z
Hf1 0.1783 0.3217 0.0000
Be1 0.1180 0.6180 0.5000
Cr1 0.0000 0.0000 0.5000